# 1
First-principles (PBE) data for a relaxed AlGe2Pt8 crystal, as listed in Alexandria via LeMat-Bulk.

Geometry as extended XYZ:
```
11
Lattice="8.1512 -1.9410 0.0000 8.1512 1.9410 0.0000 -1.3222 0.0000 5.5556" Properties=species:S:1:pos:R:3 pbc="T T T"
Al 0.0000 0.0000 0.0000
Ge 4.8587 0.0000 1.6003
Ge 10.1215 0.0000 3.9553
Pt 1.0747 0.0000 2.3051
Pt 1.1801 0.0000 5.4195
Pt 3.6797 0.0000 3.8388
Pt 7.3822 0.0000 1.4137
Pt 7.5980 0.0000 4.1419
Pt 11.3005 0.0000 1.7168
Pt 13.8001 0.0000 0.1361
Pt 13.9055 0.0000 3.2505
```

---

# 2
First-principles (PBE) data for a relaxed AlGePt3 crystal, as listed in Alexandria via LeMat-Bulk.

Geometry as extended XYZ:
```
5
Lattice="4.6106 0.0000 0.0000 0.0000 4.6106 0.0000 0.0000 0.0000 4.6106" Properties=species:S:1:pos:R:3 pbc="T T T"
Al 0.0000 0.0000 0.0000
Ge 2.3053 2.3053 2.3053
Pt 0.0000 0.0000 2.3053
Pt 0.0000 2.3053 0.0000
Pt 2.3053 0.0000 0.0000
```

---

# 3
First-principles (PBE) data for a relaxed Al3GePt crystal, as listed in Alexandria via LeMat-Bulk.

Geometry as extended XYZ:
```
5
Lattice="4.7626 0.0000 0.0000 0.0000 4.7626 0.0000 0.0000 0.0000 4.7626" Properties=species:S:1:pos:R:3 pbc="T T T"
Al 0.0000 0.0000 2.3813
Al 0.0000 2.3813 0.0000
Al 2.3813 0.0000 0.0000
Ge 2.3813 2.3813 2.3813
Pt 0.0000 0.0000 0.0000
```

---

# 4
First-principles (PBE) data for a relaxed AlGePt crystal, as listed in Alexandria via LeMat-Bulk.

Geometry as extended XYZ:
```
3
Lattice="0.0000 2.9896 2.9896 2.9896 0.0000 2.9896 2.9896 2.9896 0.0000" Properties=species:S:1:pos:R:3 pbc="T T T"
Al 0.0000 0.0000 0.0000
Ge 2.9896 2.9896 2.9896
Pt 4.4844 4.4844 4.4844
```

---

# 5
First-principles (PBE) data for a relaxed Al3GePt crystal, as listed in Alexandria via LeMat-Bulk.

Geometry as extended XYZ:
```
5
Lattice="4.7248 0.0000 0.0000 0.0000 4.7248 0.0000 0.0000 0.0000 4.7248" Properties=species:S:1:pos:R:3 pbc="T T T"
Al 0.0000 0.0000 2.3624
Al 0.0000 2.3624 0.0000
Al 2.3624 0.0000 0.0000
Ge 0.0000 0.0000 0.0000
Pt 2.3624 2.3624 2.3624
```

---

# 6
First-principles (PBE) data for a relaxed AlGe2Pt crystal, as listed in Alexandria via LeMat-Bulk.

Geometry as extended XYZ:
```
4
Lattice="1.4749 0.8515 9.5029 -1.4749 0.8515 9.5029 0.0000 -1.7030 9.5029" Properties=species:S:1:pos:R:3 pbc="T T T"
Al 0.0000 0.0000 0.0000
Ge 0.0000 0.0000 2.6775
Ge 0.0000 0.0000 25.8313
Pt 0.0000 0.0000 14.2544
```

---

# 7
First-principles (PBE) data for a relaxed AlGePt6 crystal, as listed in Alexandria via LeMat-Bulk.

Geometry as extended XYZ:
```
8
Lattice="3.9976 -2.8302 0.0000 3.9976 2.8302 0.0000 -3.2206 0.0000 5.5517" Properties=species:S:1:pos:R:3 pbc="T T T"
Al 0.0000 0.0000 0.0000
Ge 3.9976 0.0000 0.0000
Pt 2.4055 1.4091 1.3383
Pt 0.3634 0.0000 2.7588
Pt 2.3691 1.4091 4.2134
Pt 2.4055 -1.4091 1.3383
Pt 4.4112 0.0000 2.7928
Pt 2.3691 -1.4091 4.2134
```

---

# 8
First-principles (PBE) data for a relaxed Al2GePt crystal, as listed in Alexandria via LeMat-Bulk.

Geometry as extended XYZ:
```
8
Lattice="-2.7805 2.7805 6.0227 2.7805 -2.7805 6.0227 2.7805 2.7805 -6.0227" Properties=species:S:1:pos:R:3 pbc="T T T"
Al 4.1707 1.3376 -1.5057
Al 1.3376 1.3902 1.5057
Al -1.3902 1.4428 4.5170
Al 1.4428 1.3902 7.5284
Ge 2.7805 0.0000 3.0113
Ge 0.0000 0.0000 6.0227
Pt 0.0000 0.0000 0.0000
Pt 0.0000 2.7805 3.0113
```

---

The records above give, respectively, total magnetic moment values of 0.000; 0.000; 0.000; 0.000; 0.000; 0.000; 0.000; 0.000 Bohr magnetons per cell.
The records above give, respectively, DFT total energy values of -65.687; -24.860; -21.972; -16.384; -18.426; -19.081; -47.613; -36.566 eV for the cell shown.